Here is crystalline NaIrS2N at its relaxed geometry from the Alexandria database. Energies are from PBEsol.

Structure (POSCAR):
```
NaIrS2N
1.0
3.825 0.000 0.000
0.000 4.693 0.000
0.000 0.000 4.693
S Na N Ir
2 1 1 1
direct
0.000 0.500 0.000
0.000 0.000 0.500
0.000 0.000 0.000
0.500 0.000 0.000
0.500 0.500 0.500
```

Summary:
ΔE_f (raw)   2.1228 eV/atom
Total energy   -3.581 eV per atom